[1]
LiLa2S2 | PBE | relaxed

Summary:
Calculated total energy, eV/f.u.: -27.67
Total moment, μB/f.u.: 0.00
N(E_F), states/eV per atom: 0.2879

```
data_LiLa2S2
_space_group_name_H-M_alt 'P 4/m b m'
_space_group_IT_number 127
_space_group_name_Hall '-P 4 2ab'
_cell_length_a 7.732
_cell_length_b 7.732
_cell_length_c 3.916
_cell_angle_alpha 90.00
_cell_angle_beta 90.00
_cell_angle_gamma 90.00
loop_
_atom_site_label
_atom_site_type_symbol
_atom_site_fract_x
_atom_site_fract_y
_atom_site_fract_z
_atom_site_occupancy
Li1 Li 0.000 0.000 0.000 1
La1 La 0.158 0.342 0.500 1
S1 S 0.149 0.649 0.000 1
```



[2]
TlAs2Pb2O6 | PBE | relaxed

Summary:
Calculated total energy, eV/f.u.: -60.44
Total moment, μB/f.u.: 0.00
N(E_F), states/eV per atom: 0.3957

```
data_TlAs2Pb2O6
_space_group_name_H-M_alt 'P -1'
_space_group_IT_number 2
_cell_length_a 5.634
_cell_length_b 6.570
_cell_length_c 7.170
_cell_angle_alpha 110.22
_cell_angle_beta 92.04
_cell_angle_gamma 111.56
loop_
_space_group_symop_operation_xyz
'x,y,z'
'-x,-y,-z'
loop_
_atom_site_label
_atom_site_type_symbol
_atom_site_fract_x
_atom_site_fract_y
_atom_site_fract_z
_atom_site_occupancy
Tl1 Tl 0.000 0.000 0.000 1
As1 As 0.333 0.762 0.304 1
Pb1 Pb 0.320 0.628 0.752 1
O1 O 0.004 0.713 0.254 1
O2 O 0.329 0.478 0.273 1
O3 O 0.458 0.832 0.102 1
```



[3]
ZrTcMo2C | PBE | relaxed

Summary:
Calculated total energy, eV/f.u.: -38.10
ΔE_f, eV/atom: 2.34
Total moment, μB/f.u.: 0.00
N(E_F), states/eV per atom: 1.1784

```
data_ZrTcMo2C
_space_group_name_H-M_alt 'P 4/m m m'
_space_group_IT_number 123
_space_group_name_Hall '-P 4 2'
_cell_length_a 4.616
_cell_length_b 4.616
_cell_length_c 5.074
_cell_angle_alpha 90.00
_cell_angle_beta 90.00
_cell_angle_gamma 90.00
loop_
_atom_site_label
_atom_site_type_symbol
_atom_site_fract_x
_atom_site_fract_y
_atom_site_fract_z
_atom_site_occupancy
Zr1 Zr 0.000 0.000 0.000 1
Tc1 Tc 0.000 0.000 0.500 1
Mo1 Mo 0.000 0.500 0.500 1
C1 C 0.500 0.500 0.000 1
```



[4]
TiTcTe4 | PBE | relaxed

Summary:
Calculated total energy, eV/f.u.: -33.01
Total moment, μB/f.u.: 0.00
N(E_F), states/eV per atom: 0.6948

```
data_TiTcTe4
_space_group_name_H-M_alt 'C 1 2/m 1'
_space_group_IT_number 12
_cell_length_a 14.790
_cell_length_b 3.611
_cell_length_c 6.162
_cell_angle_alpha 90.00
_cell_angle_beta 97.78
_cell_angle_gamma 90.00
loop_
_space_group_symop_operation_xyz
'x,y,z'
'-x,-y,-z'
'-x,y,-z'
'x,-y,z'
'x+1/2,y+1/2,z'
'-x+1/2,-y+1/2,-z'
'-x+1/2,y+1/2,-z'
'x+1/2,-y+1/2,z'
loop_
_atom_site_label
_atom_site_type_symbol
_atom_site_fract_x
_atom_site_fract_y
_atom_site_fract_z
_atom_site_occupancy
Ti1 Ti 0.000 0.000 0.000 1
Tc1 Tc 0.000 0.500 0.500 1
Te1 Te 0.121 0.000 0.377 1
Te2 Te 0.124 0.500 0.875 1
```



[5]
AgSI | PBE | relaxed

Summary:
Calculated total energy, eV/f.u.: -8.25
Polymorph energy (0 for the lowest one), meV/atom: 112.0
Total moment, μB/f.u.: 0.00

```
data_AgSI
_space_group_name_H-M_alt 'P 1'
_space_group_IT_number 1
_cell_length_a 4.330
_cell_length_b 5.478
_cell_length_c 7.363
_cell_angle_alpha 94.33
_cell_angle_beta 96.07
_cell_angle_gamma 95.14
loop_
_space_group_symop_operation_xyz
'x,y,z'
loop_
_atom_site_label
_atom_site_type_symbol
_atom_site_fract_x
_atom_site_fract_y
_atom_site_fract_z
_atom_site_occupancy
Ag1 Ag 0.000 0.000 0.000 1
Ag2 Ag 0.329 0.917 0.350 1
S1 S 0.398 0.831 0.828 1
S2 S 0.805 0.174 0.285 1
I1 I 0.116 0.533 0.555 1
I2 I 0.575 0.495 0.049 1
```



[6]
LiNpSe2 | PBE | relaxed

Summary:
Calculated total energy, eV/f.u.: -26.42
Total moment, μB/f.u.: 4.00
N(E_F), states/eV per atom: 2.5797

```
data_LiNpSe2
_space_group_name_H-M_alt 'R 3 m'
_space_group_IT_number 160
_space_group_name_Hall 'R 3 -2"'
_cell_length_a 4.0619
_cell_length_b 4.0619
_cell_length_c 20.5781
_cell_angle_alpha 90.00
_cell_angle_beta 90.00
_cell_angle_gamma 120.00
loop_
_atom_site_label
_atom_site_type_symbol
_atom_site_fract_x
_atom_site_fract_y
_atom_site_fract_z
_atom_site_occupancy
Li1 Li 0.0000 0.0000 0.0000 1
Np1 Np 0.0000 0.0000 0.1773 1
Se1 Se 0.0000 0.0000 0.5929 1
Se2 Se 0.0000 0.0000 0.7636 1
```